1.
Computed, not measured: a geometry-optimized Ta2Co structure at the PBE level of DFT.

abc: 3.464 12.528 4.332
angles: 90.00 90.00 90.00
Sites, in units of the cell vectors:
Ta (0.000, 0.074, 0.250)
Ta (0.000, 0.243, 0.750)
Ta (0.000, 0.757, 0.250)
Ta (0.000, 0.926, 0.750)
Ta (0.500, 0.257, 0.250)
Ta (0.500, 0.426, 0.750)
Ta (0.500, 0.574, 0.250)
Ta (0.500, 0.743, 0.750)
Co (0.000, 0.423, 0.250)
Co (0.000, 0.577, 0.750)
Co (0.500, 0.077, 0.750)
Co (0.500, 0.923, 0.250)

Values from the calculation:
For the total energy, the calculation gives -10.296 eV per atom. For the formation energy from the elements, the calculation gives -0.026 eV/atom. Its space group is Cmcm (63).

2.
Computed, not measured: a geometry-optimized ErTl3I2O9 structure at the PBE level of DFT.

abc: 5.993 5.993 7.290
angles: 90.00 90.00 120.00
Sites, in units of the cell vectors:
Er (0.000, 0.000, 0.000)
Tl (0.000, 0.000, 0.500)
Tl (0.333, 0.667, 0.184)
Tl (0.667, 0.333, 0.816)
I (0.333, 0.667, 0.675)
I (0.667, 0.333, 0.325)
O (0.000, 0.500, 0.500)
O (0.181, 0.361, 0.823)
O (0.181, 0.819, 0.823)
O (0.361, 0.181, 0.177)
O (0.500, 0.000, 0.500)
O (0.500, 0.500, 0.500)
O (0.639, 0.819, 0.823)
O (0.819, 0.181, 0.177)
O (0.819, 0.639, 0.177)

Values from the calculation:
As for the formation energy from raw total energies: -940 meV/atom. For the total energy, the calculation gives -4.899 eV per atom. Its space group is P-3m1 (164).